Entry from Alexandria: a relaxed KPa2OsO8 crystal (PBE).

- uncorrected formation energy (meV/atom) = -2274
- crystal system = trigonal

a = 5.3787 Å, b = 5.3787 Å, c = 7.6954 Å
α = 90.00°, β = 90.00°, γ = 120.00°
Last column: nearest neighbours and their distance in Å.
Space group P-3m1 (No. 164)
Unique sites:
K1 0.0000 0.0000 0.0000 [1 per cell]  12 O 3.27
Pa1 0.3333 0.6667 0.3749 [2 per cell]  1 O 1.87
Os1 0.0000 0.0000 0.5000 [1 per cell]  6 O 1.94
O1 0.1766 0.3532 0.6332 [6 per cell]  1 Os 1.94
O2 0.3333 0.6667 0.1321 [2 per cell]  1 Pa 1.87

Entry from Alexandria: a relaxed KOsPbO6 crystal (PBE).

- uncorrected formation energy (meV/atom) = -904
- crystal system = trigonal

a = 5.8430 Å, b = 5.8430 Å, c = 4.6693 Å
α = 90.00°, β = 90.00°, γ = 120.00°
Last column: nearest neighbours and their distance in Å.
Space group P312 (No. 149)
Unique sites:
K1 0.0000 0.0000 0.0000 [1 per cell]  6 O 2.53
Os1 0.3333 0.6667 0.0000 [1 per cell]  6 O 1.88
Pb1 0.6667 0.3333 0.5000 [1 per cell]  6 O 2.44
O1 0.0616 0.4174 0.2341 [6 per cell]  1 Os 1.88

Entry from Alexandria: a relaxed KOsPbO5 crystal (PBE).

- uncorrected formation energy (meV/atom) = -1076
- crystal system = monoclinic

a = 7.3240 Å, b = 10.6674 Å, c = 8.2472 Å
α = 90.00°, β = 109.40°, γ = 90.00°
Last column: nearest neighbours and their distance in Å.
Space group C2/c (No. 15)
Unique sites:
K1 0.0000 0.1801 0.2500 [4 per cell]  5 O 2.69-2.94
Os1 0.0000 0.1708 0.7500 [4 per cell]  4 O 1.79-1.80
Pb1 0.0000 0.5000 0.0000 [4 per cell]  2 O 2.19
O1 0.0000 0.4321 0.2500 [4 per cell]  2 Pb 2.19
O2 0.0833 0.2795 0.6226 [8 per cell]  1 Os 1.80
O3 0.1335 0.0637 0.9128 [8 per cell]  1 Os 1.79

Q: Among the records above, which one has the lowest uncorrected formation energy?
A: KPa2OsO8